Record 1
! Y8Al2Tl, relaxed, DFT PBE-GGA; values from VASP
&SYSTEM
  ibrav = 0, nat = 11, ntyp = 3
/
ATOMIC_SPECIES
Y 88.91 Y.upf
Al 26.98 Al.upf
Tl 204.38 Tl.upf
ATOMIC_POSITIONS angstrom
Y 2.9870 2.1029 6.2833
Y 0.0767 -0.4819 2.4038
Y 1.5319 5.4751 1.2358
Y 2.9870 4.9887 4.3606
Y 1.5319 -0.9683 5.5286
Y 0.1702 2.7961 4.1968
Y 0.0767 2.4039 0.4811
Y 2.8936 1.7107 2.5676
Al -1.2282 4.6490 2.0296
Al -1.2282 0.0825 5.0720
Tl 2.7600 -0.1123 -0.1686
CELL_PARAMETERS angstrom
5.5201 -0.2247 -0.3372
-1.2282 8.2433 -0.3651
-1.2282 -3.5118 7.4667
! - total DFT energy (no corrections) (eV per atom) = -5.72
! - energy of formation (eV per atom) = -0.123

Record 2
! Y4Al3Tl, relaxed, DFT PBE-GGA; values from VASP
&SYSTEM
  ibrav = 0, nat = 16, ntyp = 3
/
ATOMIC_SPECIES
Tl 204.38 Tl.upf
Al 26.98 Al.upf
Y 88.91 Y.upf
ATOMIC_POSITIONS angstrom
Tl 1.2348 -1.4322 3.1692
Tl 1.5029 3.3040 5.2050
Al -2.0320 6.8783 3.9000
Al 0.0000 0.0000 0.0000
Al 0.2682 4.7361 2.0358
Al -0.7964 5.4462 7.0689
Al -1.0528 0.7111 5.0291
Al -2.2867 2.1434 1.8595
Y -0.2911 2.3439 7.6749
Y -1.5581 3.8134 4.4231
Y 2.2654 4.9368 7.8506
Y -2.8477 -0.2490 7.4992
Y 0.9985 6.4063 4.5988
Y -4.1146 1.2205 4.2474
Y -0.5593 -2.3922 5.6392
Y -1.8263 -0.9227 2.3873
CELL_PARAMETERS angstrom
-4.8551 -0.4506 1.6880
2.4696 -2.8644 6.3385
0.5363 9.4723 4.0715
! - total DFT energy (no corrections) (eV per atom) = -5.32
! - energy of formation (eV per atom) = -0.385

Record 3
! Y2Al2Tl, relaxed, DFT PBE-GGA; values from VASP
&SYSTEM
  ibrav = 0, nat = 10, ntyp = 3
/
ATOMIC_SPECIES
Al 26.98 Al.upf
Tl 204.38 Tl.upf
Y 88.91 Y.upf
ATOMIC_POSITIONS angstrom
Al -1.2996 -3.0698 2.0330
Al 2.5437 -8.8719 2.0298
Al 3.5109 -4.0572 1.7131
Al -2.2668 -7.8845 2.3497
Tl 0.0000 0.0000 0.0000
Tl 0.4865 -6.0597 0.2677
Y -2.6046 -5.4534 0.4747
Y 3.5777 -6.6659 0.0607
Y -0.1068 -9.1537 0.4691
Y 1.0799 -2.9656 0.0663
CELL_PARAMETERS angstrom
-5.5611 -6.5237 0.7558
6.5342 -5.5956 -0.2203
0.2710 0.1776 3.5273
! - total DFT energy (no corrections) (eV per atom) = -4.71
! - energy above the most stable polymorph in this dataset (kJ per mole of atoms) = 23.20
! - energy of formation (eV per atom) = -0.157

Record 4
! Y6AlTl5, relaxed, DFT PBE-GGA; values from VASP
&SYSTEM
  ibrav = 0, nat = 12, ntyp = 3
/
ATOMIC_SPECIES
Y 88.91 Y.upf
Tl 204.38 Tl.upf
Al 26.98 Al.upf
ATOMIC_POSITIONS angstrom
Y -0.1290 6.2035 -0.3620
Y 1.7084 5.5354 5.9051
Y 2.3225 1.6001 -1.5744
Y 3.6384 4.2684 2.9552
Y 0.3925 2.8671 1.3755
Y 4.1599 0.9320 4.6927
Tl -0.5127 3.2811 -1.7085
Tl 2.7148 4.5717 -0.1974
Tl 1.3162 2.5638 4.5281
Tl 3.2429 1.3191 1.5614
Tl 0.7880 5.8164 2.7693
Al 0.0000 0.0000 0.0000
CELL_PARAMETERS angstrom
5.1416 0.0240 -1.4953
-1.0255 6.5623 -3.4170
-0.0852 0.5493 9.2430
! - total DFT energy (no corrections) (eV per atom) = -4.90
! - energy of formation (eV per atom) = -0.371

Record 5
! Y4Al2Tl, relaxed, DFT PBE-GGA; values from VASP
&SYSTEM
  ibrav = 0, nat = 7, ntyp = 3
/
ATOMIC_SPECIES
Y 88.91 Y.upf
Al 26.98 Al.upf
Tl 204.38 Tl.upf
ATOMIC_POSITIONS angstrom
Y -8.7325 3.3301 1.7207
Y -6.1379 3.8329 5.7981
Y -5.7625 1.9184 0.2770
Y -3.1679 2.4211 4.3544
Al -2.9747 1.4359 1.5134
Al -8.9257 4.3153 4.5618
Tl 0.0000 0.0000 0.0000
CELL_PARAMETERS angstrom
-3.5174 3.4753 -1.4443
-5.0054 -1.2146 0.0808
-3.3776 3.4906 7.4386
! - total DFT energy (no corrections) (eV per atom) = -5.35
! - energy of formation (eV per atom) = -0.247

Record 6
! YAl2Tl, relaxed, DFT PBE-GGA; values from VASP
&SYSTEM
  ibrav = 0, nat = 4, ntyp = 3
/
ATOMIC_SPECIES
Tl 204.38 Tl.upf
Al 26.98 Al.upf
Y 88.91 Y.upf
ATOMIC_POSITIONS angstrom
Tl -2.4467 -2.0334 -0.6096
Al -4.8925 -4.0661 -1.2190
Al -0.0009 -0.0008 -0.0002
Y -7.3400 -6.1003 -1.8289
CELL_PARAMETERS angstrom
-2.6970 -3.7169 -3.3663
-2.7480 -4.9161 0.8380
-4.3417 0.4992 0.0898
! - total DFT energy (no corrections) (eV per atom) = -4.24
! - energy above the most stable polymorph in this dataset (kJ per mole of atoms) = 9.92
! - energy of formation (eV per atom) = -0.159

Record 7
! YAl2Tl2, relaxed, DFT PBE-GGA; values from VASP
&SYSTEM
  ibrav = 0, nat = 5, ntyp = 3
/
ATOMIC_SPECIES
Al 26.98 Al.upf
Y 88.91 Y.upf
Tl 204.38 Tl.upf
ATOMIC_POSITIONS angstrom
Al -0.0669 -2.7332 1.9975
Al -0.0602 -4.8002 6.5138
Y 0.0000 0.0000 0.0000
Tl 1.5124 -3.8272 4.2256
Tl -1.6395 -3.7062 4.2857
CELL_PARAMETERS angstrom
-3.2534 -2.9265 0.8691
3.0502 -3.1686 0.7489
0.0761 -1.4383 6.8933
! - total DFT energy (no corrections) (eV per atom) = -3.68
! - energy above the most stable polymorph in this dataset (kJ per mole of atoms) = 4.59
! - energy of formation (eV per atom) = 0.060

Record 8
! YAl4Tl, relaxed, DFT PBE-GGA; values from VASP
&SYSTEM
  ibrav = 0, nat = 6, ntyp = 3
/
ATOMIC_SPECIES
Al 26.98 Al.upf
Y 88.91 Y.upf
Tl 204.38 Tl.upf
ATOMIC_POSITIONS angstrom
Al 2.9821 2.9821 2.9821
Al 2.9821 4.9631 4.9631
Al 4.9631 4.9631 2.9821
Al 4.9631 2.9821 4.9631
Y 0.0000 0.0000 0.0000
Tl 5.9589 5.9589 5.9589
CELL_PARAMETERS angstrom
0.0000 3.9726 3.9726
3.9726 0.0000 3.9726
3.9726 3.9726 0.0000
! - total DFT energy (no corrections) (eV per atom) = -4.11
! - energy of formation (eV per atom) = -0.145

Look up the energy of formation of the seventh one. 0.060 eV per atom

Which of these has the highest total DFT energy (no corrections)? YAl2Tl2

What is the energy of formation in the first record? -0.123 eV per atom

Which value of total DFT energy (no corrections) does entry 8 give? -4.11 eV per atom